VASP calculation (PBE) on ZrTe2Pb after structural relaxation.

Summary:
Formation energy from raw total energies   -551 meV per atom
SG   R3m (160)

Cell: 9.3133 9.3133 9.3133 Å, 24.21 24.21 24.21°
Atoms (fractional coordinates):
Zr1 0.0000 0.0000 0.0000
Te1 0.4023 0.4023 0.4023
Te2 0.5982 0.5982 0.5982
Pb1 0.8369 0.8369 0.8369


VASP calculation (PBE) on CaAcGa after structural relaxation.

Summary:
E_form   -0.344 eV/atom
Polymorph energy (0 for the lowest one)   0 meV per atom
SG   P-62m (189)

Cell: 8.2478 8.2478 4.9922 Å, 90.00 90.00 120.00°
Atoms (fractional coordinates):
Ca1 0.0000 0.2521 0.0000
Ca2 0.2521 0.0000 0.0000
Ca3 0.7479 0.7479 0.0000
Ac1 0.0000 0.5858 0.5000
Ac2 0.4142 0.4142 0.5000
Ac3 0.5858 0.0000 0.5000
Ga1 0.0000 0.0000 0.5000
Ga2 0.3333 0.6667 0.0000
Ga3 0.6667 0.3333 0.0000


VASP calculation (PBE) on Mg3FeGe after structural relaxation.

Summary:
E_form   0.663 eV/atom
Polymorph energy (0 for the lowest one)   0 meV per atom
SG   Pm-3m (221)

Cell: 4.9742 4.9742 4.9742 Å, 90.00 90.00 90.00°
Atoms (fractional coordinates):
Mg1 0.0000 0.0000 0.5000
Mg2 0.0000 0.5000 0.0000
Mg3 0.5000 0.0000 0.0000
Fe1 0.5000 0.5000 0.5000
Ge1 0.0000 0.0000 0.0000


VASP calculation (PBE) on Ac3LaSm2Te6 after structural relaxation.

Summary:
Formation energy from raw total energies   -1468 meV per atom
SG   C2/m (12)

Cell: 10.3405 10.3405 9.3033 Å, 103.90 103.90 25.57°
Atoms (fractional coordinates):
Ac1 0.0000 0.0000 0.0000
Ac2 0.3354 0.3354 0.6691
Ac3 0.6646 0.6646 0.3309
La1 0.0000 0.0000 0.5000
Sm1 0.3330 0.3330 0.1671
Sm2 0.6670 0.6670 0.8329
Te1 0.1659 0.1659 0.5948
Te2 0.1709 0.1709 0.0720
Te3 0.4943 0.4943 0.2538
Te4 0.5057 0.5057 0.7462
Te5 0.8291 0.8291 0.9280
Te6 0.8341 0.8341 0.4052


VASP calculation (PBE) on Fe3S after structural relaxation.

Summary:
Formation energy from raw total energies   209 meV per atom
SG   Pmm2 (25)

Cell: 2.7902 2.8904 6.3079 Å, 90.00 90.00 90.00°
Atoms (fractional coordinates):
Fe1 0.0000 0.0000 0.0000
Fe2 0.0000 0.5000 0.4253
Fe3 0.5000 0.5000 0.7624
S1 0.5000 0.0000 0.2804


VASP calculation (PBE) on RbNaMnCl6 after structural relaxation.

Summary:
Formation energy from raw total energies   -1319 meV per atom
SG   P312 (149)

Cell: 6.8565 6.8565 6.9608 Å, 90.00 90.00 120.00°
Atoms (fractional coordinates):
Rb1 0.0000 0.0000 0.0000
Na1 0.3333 0.6667 0.5000
Mn1 0.6667 0.3333 0.5000
Cl1 0.4001 0.0564 0.6918
Cl2 0.4001 0.3437 0.3082
Cl3 0.6563 0.0564 0.3082
Cl4 0.6563 0.5999 0.6918
Cl5 0.9436 0.3437 0.6918
Cl6 0.9436 0.5999 0.3082


VASP calculation (PBE) on BiPb3S4 after structural relaxation.

Summary:
Formation energy from raw total energies   -417 meV per atom
SG   Pmmn (59)

Cell: 6.0081 11.8734 6.0069 Å, 90.00 90.00 90.00°
Atoms (fractional coordinates):
Bi1 0.2500 0.2500 0.2491
Bi2 0.7500 0.7500 0.7509
Pb1 0.2500 0.0000 0.7499
Pb2 0.2500 0.5000 0.7499
Pb3 0.2500 0.7500 0.2509
Pb4 0.7500 0.0000 0.2501
Pb5 0.7500 0.2500 0.7491
Pb6 0.7500 0.5000 0.2501
S1 0.2500 0.0075 0.2499
S2 0.2500 0.2500 0.7476
S3 0.2500 0.4925 0.2499
S4 0.2500 0.7500 0.7510
S5 0.7500 0.2500 0.2490
S6 0.7500 0.5075 0.7501
S7 0.7500 0.7500 0.2524
S8 0.7500 0.9925 0.7501


VASP calculation (PBE) on Sm2RuCl after structural relaxation.

Summary:
Formation energy from raw total energies   -189 meV per atom
Polymorph energy (0 for the lowest one)   716 meV per atom
SG   R-3m (166)

Cell: 9.9100 9.9100 9.9100 Å, 19.45 19.45 19.45°
Atoms (fractional coordinates):
Sm1 0.0871 0.0871 0.0871
Sm2 0.9129 0.9129 0.9129
Ru1 0.0000 0.0000 0.0000
Cl1 0.5000 0.5000 0.5000


Please write out number 5 again, unchanged.
VASP calculation (PBE) on Fe3S after structural relaxation.

Summary:
Formation energy from raw total energies   209 meV per atom
SG   Pmm2 (25)

Cell: 2.7902 2.8904 6.3079 Å, 90.00 90.00 90.00°
Atoms (fractional coordinates):
Fe1 0.0000 0.0000 0.0000
Fe2 0.0000 0.5000 0.4253
Fe3 0.5000 0.5000 0.7624
S1 0.5000 0.0000 0.2804


- Number 5 is which compound?
  Fe3S